1.
VASP calculation (PBE) on a relaxed structure of HoErIr.

a b c (Å): 6.750 6.750 6.750
angles (deg): 90.00 90.00 90.00
Fractional positions:
Ho 0.000 0.000 0.000
Ho 0.000 0.500 0.500
Ho 0.500 0.000 0.500
Ho 0.500 0.500 0.000
Er 0.000 0.000 0.500
Er 0.000 0.500 0.000
Er 0.500 0.000 0.000
Er 0.500 0.500 0.500
Ir 0.250 0.250 0.250
Ir 0.250 0.750 0.750
Ir 0.750 0.250 0.750
Ir 0.750 0.750 0.250

Values from the calculation:
**DFT formation energy**: -733 meV/atom
**E above lowest polymorph**: 6 meV per atom
**Magnetic moment**: 0.000 μB/cell
**D(E_F)**: 11.47 states/eV/cell

2.
VASP calculation (PBE) on a relaxed structure of Ho8ErIr6.

a b c (Å): 7.631 7.631 7.631
angles (deg): 65.31 65.31 65.31
Fractional positions:
Ho 0.055 0.388 0.721
Ho 0.167 0.167 0.167
Ho 0.279 0.945 0.612
Ho 0.388 0.721 0.055
Ho 0.612 0.279 0.945
Ho 0.721 0.055 0.388
Ho 0.833 0.833 0.833
Ho 0.945 0.612 0.279
Er 0.500 0.500 0.500
Ir 0.110 0.776 0.443
Ir 0.224 0.557 0.890
Ir 0.443 0.110 0.776
Ir 0.557 0.890 0.224
Ir 0.776 0.443 0.110
Ir 0.890 0.224 0.557

Values from the calculation:
**DFT formation energy**: -818 meV/atom
**Magnetic moment**: 0.000 μB/cell
**D(E_F)**: 8.62 states/eV/cell